Material: KW3O
Method: DFT, SCAN
State: single point on PBEsol structure

abc: 4.2645 4.2645 4.2645
angles: 90.00 90.00 90.00
With the nearest neighbours (Å) after each atom.
Space group Pm-3m (No. 221)
Asymmetric unit:
K (0.0000, 0.0000, 0.0000) x1  12 W 3.02
W (0.0000, 0.5000, 0.5000) x3  2 O 2.13
O (0.5000, 0.5000, 0.5000) x1  6 W 2.13

For the uncorrected formation energy, the calculation gives 652 kJ/mol of formula units. The size of the total moment is 0.0 μB per formula unit. The crystal system is cubic. As for the final energy: -216.863 eV for the cell shown.